1.
The following is a PBEsol calculation of an optimized crystal structure of KLaMo2, from Alexandria.

Cell lengths 3.2456, 3.2456, 10.0771 Å; angles 90.00, 90.00, 90.00 degrees
Fractional positions:
K 0.0000 0.0000 0.0000
La 0.5000 0.5000 0.3842
Mo 0.0000 0.0000 0.5970
Mo 0.5000 0.5000 0.7167

Raw total energy in eV per atom: -6.877
ΔH_f (0 K) in eV per atom: 0.627

2.
The following is a PBEsol calculation of an optimized crystal structure of KLaTaMo2, from Alexandria.

Cell lengths 4.5554, 4.5554, 5.0224 Å; angles 90.00, 90.00, 90.00 degrees
Fractional positions:
K 0.0000 0.0000 0.0000
La 0.0000 0.0000 0.5000
Ta 0.5000 0.5000 0.5000
Mo 0.0000 0.5000 0.0000
Mo 0.5000 0.0000 0.0000

Raw total energy in eV per atom: -5.849
ΔH_f (0 K) in eV per atom: 2.664